(1)
FeTeCl2: optimized geometry, PBE-GGA.

Unit cell a=7.014 b=7.014 c=6.547 alpha=117.46 beta=117.46 gamma=25.74
Element x y z (fractional)
Fe1 0.000 0.000 0.000
Te1 0.500 0.500 0.500
Cl1 0.356 0.356 0.857
Cl2 0.644 0.644 0.143

Results
The calculation puts the excess energy over the best structure of this formula in the dataset at 0.177 eV/atom. As for the crystal system: monoclinic. Its space-group type is C2/m. The energy relative to the elements, uncorrected comes out at -0.19 eV/atom. The calculation puts the total DFT energy (no corrections) at -4.01 eV/atom.

***

(2)
FeTe3Cl: optimized geometry, PBE-GGA.

Unit cell a=5.332 b=5.332 c=5.332 alpha=90.00 beta=90.00 gamma=90.00
Element x y z (fractional)
Fe1 0.000 0.000 0.000
Te1 0.000 0.500 0.500
Te2 0.500 0.000 0.500
Te3 0.500 0.500 0.000
Cl1 0.500 0.500 0.500

Results
The calculation puts the excess energy over the best structure of this formula in the dataset at 0.873 eV/atom. As for the crystal system: cubic. Its space-group type is Pm-3m. The energy relative to the elements, uncorrected comes out at 1.14 eV/atom. The calculation puts the total DFT energy (no corrections) at -2.80 eV/atom.

***

(3)
FeTeCl2: optimized geometry, PBE-GGA.

Unit cell a=10.668 b=10.668 c=10.668 alpha=17.88 beta=17.88 gamma=17.88
Element x y z (fractional)
Fe1 0.000 0.000 0.000
Te1 0.500 0.500 0.500
Cl1 0.294 0.294 0.294
Cl2 0.706 0.706 0.706

Results
The calculation puts the excess energy over the best structure of this formula in the dataset at 0.184 eV/atom. As for the crystal system: trigonal. Its space-group type is R-3m. The energy relative to the elements, uncorrected comes out at -0.18 eV/atom. The calculation puts the total DFT energy (no corrections) at -4.00 eV/atom.

***

(4)
FeTeCl2: optimized geometry, PBE-GGA.

Unit cell a=3.065 b=3.065 c=11.205 alpha=90.00 beta=90.00 gamma=90.00
Element x y z (fractional)
Fe1 0.000 0.000 0.000
Te1 0.000 0.000 0.500
Cl1 0.500 0.500 0.134
Cl2 0.500 0.500 0.866

Results
The calculation puts the excess energy over the best structure of this formula in the dataset at 0.128 eV/atom. As for the crystal system: tetragonal. Its space-group type is P4/mmm. The energy relative to the elements, uncorrected comes out at -0.24 eV/atom. The calculation puts the total DFT energy (no corrections) at -4.06 eV/atom.